1.
Mg9H14N2 (PBE, relaxed); size of the total moment = 0.58 μB/f.u.; total DFT energy (no corrections) = -80.28 eV/cell; N(E_F) = 8.0 states/eV per cell
1.0
5.9578 0.0000 0.0000
-2.9789 5.1596 0.0000
0.0000 0.0000 8.3215
Mg H N
9 14 2
Direct
0.0000 0.0000 0.0000
0.0429 0.3435 0.3402
0.3006 0.9571 0.3402
0.3333 0.6667 0.0062
0.3435 0.3006 0.6598
0.6565 0.6994 0.3402
0.6667 0.3333 0.9938
0.6994 0.0429 0.6598
0.9571 0.6565 0.6598
0.0000 0.0000 0.2652
0.0000 0.0000 0.7348
0.0796 0.3767 0.5854
0.0979 0.7480 0.8970
0.2520 0.3500 0.8970
0.2972 0.9204 0.5854
0.3500 0.0979 0.1030
0.3767 0.2972 0.4146
0.6233 0.7028 0.5854
0.6500 0.9021 0.8970
0.7028 0.0796 0.4146
0.7480 0.6500 0.1030
0.9021 0.2520 0.1030
0.9204 0.6233 0.4146
0.3333 0.6667 0.2437
0.6667 0.3333 0.7563


2.
Mg2HN (PBE, relaxed); size of the total moment = 0.00 μB/f.u.; total DFT energy (no corrections) = -33.08 eV/cell; energy relative to the lowest polymorph listed for this composition = 139.1 meV/atom
1.0
3.2678 0.0000 0.0000
0.0000 4.2313 0.0000
-1.1686 0.0000 6.9500
Mg H N
4 2 2
Direct
0.0000 0.0000 0.0000
0.1493 0.0000 0.4667
0.4180 0.5000 0.8273
0.5738 0.5000 0.2318
0.1317 0.5000 0.4601
0.6777 0.0000 0.7086
0.4049 0.0000 0.7668
0.9979 0.5000 0.0263


3.
Mg3P4H48N2O30 (PBE, relaxed); size of the total moment = 0.11 μB/f.u.; total DFT energy (no corrections) = -461.78 eV/cell; N(E_F) = 0.0 states/eV per cell
1.0
17.3867 -3.5224 0.0000
17.3867 3.5224 0.0000
-0.1403 0.0000 6.1751
Mg P H N O
3 4 48 2 30
Direct
0.0000 0.0000 0.0000
0.3334 0.3334 0.2536
0.6666 0.6666 0.7464
0.2043 0.2043 0.3715
0.4516 0.4516 0.6595
0.5484 0.5484 0.3405
0.7957 0.7957 0.6285
0.0018 0.2389 0.9047
0.0360 0.5490 0.0068
0.0358 0.6804 0.4466
0.0685 0.4660 0.2054
0.0676 0.8358 0.6620
0.0874 0.0874 0.0526
0.1340 0.1340 0.1388
0.1642 0.9324 0.3380
0.1815 0.4133 0.6309
0.1947 0.5986 0.4228
0.2063 0.7133 0.2915
0.2204 0.2204 0.5822
0.2389 0.0018 0.9047
0.2754 0.6372 0.0489
0.2867 0.7937 0.7085
0.3196 0.9642 0.5534
0.3457 0.3457 0.8102
0.3628 0.7246 0.9511
0.3879 0.3879 0.9241
0.4014 0.8053 0.5772
0.4133 0.1815 0.6309
0.4510 0.9640 0.9932
0.4660 0.0685 0.2054
0.4918 0.4918 0.6820
0.5082 0.5082 0.3180
0.5340 0.9315 0.7946
0.5490 0.0360 0.0068
0.5867 0.8185 0.3691
0.5986 0.1947 0.4228
0.6121 0.6121 0.0759
0.6372 0.2754 0.0489
0.6543 0.6543 0.1898
0.6804 0.0358 0.4466
0.7133 0.2063 0.2915
0.7246 0.3628 0.9511
0.7611 0.9982 0.0953
0.7796 0.7796 0.4178
0.7937 0.2867 0.7085
0.8053 0.4014 0.5772
0.8185 0.5867 0.3691
0.8358 0.0676 0.6620
0.8660 0.8660 0.8612
0.9126 0.9126 0.9474
0.9324 0.1642 0.3380
0.9315 0.5340 0.7946
0.9642 0.3196 0.5534
0.9640 0.4510 0.9932
0.9982 0.7611 0.0953
0.1156 0.1156 0.0012
0.8844 0.8844 0.9988
0.0361 0.4009 0.2591
0.0425 0.0425 0.2485
0.0835 0.5054 0.1594
0.1451 0.5964 0.3520
0.1600 0.1600 0.3946
0.1807 0.7529 0.1409
0.2471 0.8193 0.8591
0.2581 0.6226 0.5332
0.3112 0.3112 0.5763
0.3596 0.3596 0.9516
0.3774 0.7419 0.4668
0.4009 0.0361 0.2591
0.4036 0.8549 0.6480
0.4362 0.4362 0.8921
0.4946 0.9165 0.8406
0.5054 0.0835 0.1594
0.5638 0.5638 0.1079
0.5964 0.1451 0.3520
0.5991 0.9639 0.7409
0.6226 0.2581 0.5332
0.6404 0.6404 0.0484
0.6888 0.6888 0.4237
0.7419 0.3774 0.4668
0.7529 0.1807 0.1409
0.8193 0.2471 0.8591
0.8400 0.8400 0.6054
0.8549 0.4036 0.6480
0.9165 0.4946 0.8406
0.9575 0.9575 0.7515
0.9639 0.5991 0.7409